# 1
Crystalline Sr2InSnPt6 at its relaxed geometry. Source: Alexandria via LeMat-Bulk, functional PBE-GGA.

Summary:
Its space group is Fm-3m, No. 225. The total energy is -4.66 eV per atom. For the formation energy, the calculation gives -23.8 meV/atom.

Structure (POSCAR):
```
Sr2InSnPt6
1.0
-4.4446 4.5263 3.2498
2.4507 -2.1454 6.3399
2.5416 4.7760 4.6404
Sr In Sn Pt
2 1 1 6
Direct
0.2500 0.7500 0.5000
0.7500 0.2500 0.5000
0.5000 0.5000 0.0000
0.0000 0.0000 0.0000
0.2489 0.7511 0.0000
0.7511 0.7511 0.0000
0.2489 0.2489 0.5023
0.7511 0.2489 0.0000
0.2489 0.2489 0.0000
0.7511 0.7511 0.4977
```


# 2
Crystalline Sr3In9Pt2 at its relaxed geometry. Source: Alexandria via LeMat-Bulk, functional PBE-GGA.

Summary:
Its space group is Immm, No. 71. The total energy is -3.43 eV per atom. For the formation energy, the calculation gives -445.9 meV/atom.

Structure (POSCAR):
```
Sr3In9Pt2
1.0
-3.6184 -2.9488 0.6800
2.0724 -7.4745 -5.0245
3.0763 -6.1162 6.2079
Sr In Pt
3 9 2
Direct
0.0000 0.0000 0.0000
0.6773 0.3227 0.3227
0.3227 0.6773 0.6773
0.0000 0.5000 0.5000
0.6685 0.9636 0.6995
0.3315 0.0364 0.3005
0.6685 0.6995 0.9636
0.3315 0.3005 0.0364
0.8803 0.8380 0.4013
0.1197 0.1620 0.5987
0.8803 0.4013 0.8380
0.1197 0.5987 0.1620
0.5000 0.2658 0.7342
0.5000 0.7342 0.2658
```


# 3
Crystalline SrIn3Pt3 at its relaxed geometry. Source: Alexandria via LeMat-Bulk, functional PBE-GGA.

Summary:
The calculation puts the energy above the most stable polymorph in this dataset at 287 meV/atom. Its space group is Pm-3n, No. 223. The total energy is -4.29 eV per atom. For the formation energy, the calculation gives -285.4 meV/atom.

Structure (POSCAR):
```
SrIn3Pt3
1.0
7.4063 0.0000 0.0000
0.0000 7.4063 0.0000
0.0000 0.0000 7.4063
Sr Pt In
2 6 6
Direct
0.5000 0.5000 0.5000
0.0000 0.0000 0.0000
0.0000 0.2500 0.5000
0.0000 0.7500 0.5000
0.5000 0.0000 0.7500
0.7500 0.5000 0.0000
0.5000 0.0000 0.2500
0.2500 0.5000 0.0000
0.2500 0.0000 0.5000
0.0000 0.5000 0.2500
0.5000 0.7500 0.0000
0.7500 0.0000 0.5000
0.0000 0.5000 0.7500
0.5000 0.2500 0.0000
```


# 4
Crystalline SrIn9Pt2 at its relaxed geometry. Source: Alexandria via LeMat-Bulk, functional PBE-GGA.

Summary:
Its space group is I4_1/amd, No. 141. The total energy is -3.43 eV per atom. For the formation energy, the calculation gives -233.0 meV/atom.

Structure (POSCAR):
```
SrIn9Pt2
1.0
-4.4525 -0.7113 5.9622
-7.8339 -5.3540 -1.8029
2.2156 -7.6778 5.4247
Sr In Pt
2 18 4
Direct
0.5000 0.0000 0.0000
0.2500 0.5000 0.5000
0.7500 0.5000 0.5000
0.0000 0.0000 0.0000
0.9814 0.9367 0.6953
0.6134 0.0633 0.3047
0.6681 0.1953 0.5633
0.4267 0.8047 0.4367
0.7686 0.8047 0.5633
0.1366 0.1953 0.4367
0.0819 0.9367 0.3047
0.3233 0.0633 0.6953
0.7686 0.5633 0.8047
0.1366 0.4367 0.1953
0.0819 0.3047 0.9367
0.3233 0.6953 0.0633
0.9814 0.6953 0.9367
0.6134 0.3047 0.0633
0.6681 0.5633 0.1953
0.4267 0.4367 0.8047
0.8750 0.2500 0.7500
0.8750 0.7500 0.2500
0.8750 0.2500 0.2500
0.3750 0.7500 0.7500
```


# 5
Crystalline SrIn4Pt2 at its relaxed geometry. Source: Alexandria via LeMat-Bulk, functional PBE-GGA.

Summary:
Its space group is Pnma, No. 62. The total energy is -4.11 eV per atom. For the formation energy, the calculation gives -581.6 meV/atom.

Structure (POSCAR):
```
SrIn4Pt2
1.0
4.6195 0.0000 0.0000
0.0000 7.3972 0.0000
0.0000 0.0000 18.7726
Sr In Pt
4 16 8
Direct
0.7500 0.9692 0.6412
0.2500 0.0308 0.3588
0.2500 0.4692 0.8588
0.7500 0.5308 0.1412
0.2500 0.2621 0.6905
0.7500 0.7379 0.3095
0.7500 0.7621 0.8095
0.2500 0.2379 0.1905
0.2500 0.6699 0.6861
0.7500 0.3301 0.3139
0.7500 0.1699 0.8139
0.2500 0.8301 0.1861
0.2500 0.1480 0.5342
0.7500 0.8520 0.4658
0.7500 0.6480 0.9658
0.2500 0.3520 0.0342
0.2500 0.4957 0.4294
0.7500 0.5043 0.5706
0.7500 0.9957 0.0706
0.2500 0.0043 0.9294
0.2500 0.7463 0.5400
0.7500 0.2537 0.4600
0.7500 0.2463 0.9600
0.2500 0.7537 0.0400
0.2500 0.9636 0.7818
0.7500 0.0364 0.2182
0.7500 0.4636 0.7182
0.2500 0.5364 0.2818
```


# 6
Crystalline Sr3In3Pt2 at its relaxed geometry. Source: Alexandria via LeMat-Bulk, functional PBE-GGA.

Summary:
Its space group is Pnma, No. 62. The total energy is -3.83 eV per atom. For the formation energy, the calculation gives -659.0 meV/atom.

Structure (POSCAR):
```
Sr3In3Pt2
1.0
-4.3601 3.6559 2.4485
-1.7598 -6.0015 5.8271
11.5039 6.7421 10.4182
Sr In Pt
12 12 8
Direct
0.1065 0.4625 0.3916
0.6065 0.0375 0.6084
0.8935 0.5375 0.8916
0.3935 0.9625 0.1084
0.8935 0.5375 0.6084
0.3935 0.9625 0.3916
0.1065 0.4625 0.1084
0.6065 0.0375 0.8916
0.6328 0.3225 0.2500
0.1328 0.1775 0.7500
0.3672 0.6775 0.7500
0.8672 0.8225 0.2500
0.1191 0.1624 0.2500
0.6191 0.3376 0.7500
0.8809 0.8376 0.7500
0.3809 0.6624 0.2500
0.6042 0.3239 0.4626
0.1042 0.1761 0.5374
0.3958 0.6761 0.9626
0.8958 0.8239 0.0374
0.3958 0.6761 0.5374
0.8958 0.8239 0.4626
0.6042 0.3239 0.0374
0.1042 0.1761 0.9626
0.8886 0.1152 0.3904
0.3886 0.3848 0.6096
0.1114 0.8848 0.8904
0.6114 0.6152 0.1096
0.1114 0.8848 0.6096
0.6114 0.6152 0.3904
0.8886 0.1152 0.1096
0.3886 0.3848 0.8904
```


# 7
Crystalline Sr2InPt at its relaxed geometry. Source: Alexandria via LeMat-Bulk, functional PBE-GGA.

Summary:
Its space group is P4mm, No. 99. The total energy is -3.46 eV per atom. For the formation energy, the calculation gives -427.4 meV/atom.

Structure (POSCAR):
```
Sr2InPt
1.0
-1.2330 -0.3805 -3.5120
3.5160 0.2279 -1.2590
0.8162 -8.8660 0.6741
In Pt Sr
1 1 2
Direct
0.0000 0.0000 0.5647
0.5000 0.5000 0.6971
0.0000 0.0000 0.9191
0.5000 0.5000 0.3191
```


# 8
Crystalline Sr2InPt at its relaxed geometry. Source: Alexandria via LeMat-Bulk, functional PBE-GGA.

Summary:
Its space group is I-42d, No. 122. The total energy is -3.34 eV per atom. For the formation energy, the calculation gives -301.6 meV/atom.

Structure (POSCAR):
```
Sr2InPt
1.0
-7.9198 0.3103 -3.7342
-3.5197 -3.6111 7.1649
-6.2216 1.4639 3.0384
Sr Pt In
4 2 2
Direct
0.6806 0.1250 0.2500
0.0694 0.6250 0.2500
0.3750 0.3194 0.7500
0.8750 0.9306 0.7500
0.0000 0.0000 0.0000
0.7500 0.2500 0.5000
0.5000 0.5000 0.0000
0.2500 0.7500 0.5000
```


# 9
Crystalline Sr2In12Pt7 at its relaxed geometry. Source: Alexandria via LeMat-Bulk, functional PBE-GGA.

Summary:
Its space group is P-6, No. 174. The total energy is -4.29 eV per atom. For the formation energy, the calculation gives -556.0 meV/atom.

Structure (POSCAR):
```
Sr2In12Pt7
1.0
-0.7821 3.8269 -1.9810
-10.1744 -3.4931 -2.7309
1.6524 5.3097 9.6049
Sr In Pt
2 12 7
Direct
0.5000 0.0000 0.0000
0.0000 0.6667 0.3333
0.5000 0.9099 0.6124
0.5000 0.7024 0.0901
0.5000 0.3876 0.2976
0.5000 0.2424 0.7940
0.5000 0.5516 0.7576
0.5000 0.2060 0.4484
0.0000 0.0464 0.5261
0.0000 0.4797 0.9536
0.0000 0.4739 0.5203
0.0000 0.7928 0.7316
0.0000 0.9388 0.2072
0.0000 0.2684 0.0612
0.0000 0.3333 0.6667
0.0000 0.0678 0.7849
0.0000 0.7170 0.9322
0.0000 0.2151 0.2830
0.5000 0.6429 0.5604
0.5000 0.9175 0.3571
0.5000 0.4396 0.0825
```


# 10
Crystalline Sr8InPt2 at its relaxed geometry. Source: Alexandria via LeMat-Bulk, functional PBE-GGA.

Summary:
Its space group is Cm, No. 8. The total energy is -2.99 eV per atom. For the formation energy, the calculation gives -422.1 meV/atom.

Structure (POSCAR):
```
Sr8InPt2
1.0
6.0896 0.2386 -0.9061
-1.8850 7.8345 -3.1634
0.1790 0.0387 8.6548
Sr In Pt
8 1 2
Direct
0.5827 0.3323 0.0643
0.5827 0.0643 0.3323
0.2063 0.3819 0.3819
0.9997 0.2485 0.7575
0.9997 0.7575 0.2485
0.7935 0.6244 0.6244
0.4165 0.9418 0.6737
0.4165 0.6737 0.9418
0.0021 0.0034 0.0034
0.4999 0.6891 0.3170
0.4999 0.3170 0.6891
```


Please write out number 4 again, unchanged.
Crystalline SrIn9Pt2 at its relaxed geometry. Source: Alexandria via LeMat-Bulk, functional PBE-GGA.

Summary:
Its space group is I4_1/amd, No. 141. The total energy is -3.43 eV per atom. For the formation energy, the calculation gives -233.0 meV/atom.

Structure (POSCAR):
```
SrIn9Pt2
1.0
-4.4525 -0.7113 5.9622
-7.8339 -5.3540 -1.8029
2.2156 -7.6778 5.4247
Sr In Pt
2 18 4
Direct
0.5000 0.0000 0.0000
0.2500 0.5000 0.5000
0.7500 0.5000 0.5000
0.0000 0.0000 0.0000
0.9814 0.9367 0.6953
0.6134 0.0633 0.3047
0.6681 0.1953 0.5633
0.4267 0.8047 0.4367
0.7686 0.8047 0.5633
0.1366 0.1953 0.4367
0.0819 0.9367 0.3047
0.3233 0.0633 0.6953
0.7686 0.5633 0.8047
0.1366 0.4367 0.1953
0.0819 0.3047 0.9367
0.3233 0.6953 0.0633
0.9814 0.6953 0.9367
0.6134 0.3047 0.0633
0.6681 0.5633 0.1953
0.4267 0.4367 0.8047
0.8750 0.2500 0.7500
0.8750 0.7500 0.2500
0.8750 0.2500 0.2500
0.3750 0.7500 0.7500
```